# 1
# BaFeP3 PBE-GGA optimized geometry
# - raw total energy (eV/atom) = -5.770
data_BaFeP3
_cell_length_a 5.228
_cell_length_b 14.739
_cell_length_c 6.218
_cell_angle_alpha 90.00
_cell_angle_beta 90.00
_cell_angle_gamma 90.00
_space_group_name_H-M_alt 'C m c m'
_space_group_IT_number 63
_space_group_name_Hall '-C 2c 2'
loop_
_atom_site_label
_atom_site_fract_x
_atom_site_fract_y
_atom_site_fract_z
Ba1 0.000 0.115 0.250
Fe1 0.000 0.409 0.250
P1 0.000 0.500 0.000
P2 0.196 0.190 0.750



# 2
# Ba2FeP2 PBE-GGA optimized geometry
# - raw total energy (eV/atom) = -5.260
data_Ba2FeP2
_cell_length_a 4.253
_cell_length_b 17.989
_cell_length_c 7.930
_cell_angle_alpha 90.00
_cell_angle_beta 90.00
_cell_angle_gamma 90.00
_space_group_name_H-M_alt 'C m c 21'
_space_group_IT_number 36
_space_group_name_Hall 'C 2c -2'
loop_
_atom_site_label
_atom_site_fract_x
_atom_site_fract_y
_atom_site_fract_z
Ba1 0.000 0.028 0.000
Ba2 0.000 0.221 0.677
Fe1 0.000 0.379 0.922
P1 0.000 0.147 0.307
P2 0.000 0.416 0.193



# 3
# BaPaFe PBE-GGA optimized geometry
# - raw total energy (eV/atom) = -5.617
data_BaPaFe
_cell_length_a 6.826
_cell_length_b 6.826
_cell_length_c 6.826
_cell_angle_alpha 90.00
_cell_angle_beta 90.00
_cell_angle_gamma 90.00
_space_group_name_H-M_alt 'F -4 3 m'
_space_group_IT_number 216
_space_group_name_Hall 'F -4 2 3'
loop_
_atom_site_label
_atom_site_fract_x
_atom_site_fract_y
_atom_site_fract_z
Ba1 0.000 0.000 0.000
Pa1 0.000 0.000 0.500
Fe1 0.250 0.250 0.750



Quick rundown of magnetic moment, same order as above: 0.0025, 0.7383, 0.0280 μB per atom